A plane-wave DFT calculation with GGA-PBE was carried out for an optimized crystal structure of PuGaCo.

E_form ... -254 meV per atom
Spin magnetization ... 9.701 μB per cell
Uncorrected energy ... -8.409 eV/atom
Density of states at the Fermi level ... 8.69 states/eV/f.u.

abc: 5.142 5.142 5.142
angles: 95.78 116.34 117.10
Site moments in Bohr magnetons follow the coordinates.
Atoms (fractional coordinates):
Pu (0.250, 0.104, 0.854)  5.14
Co (0.500, 0.000, 0.500)  -0.47
Pu (0.750, 0.896, 0.146)  5.14
Co (0.000, 0.500, 0.500)  -0.47
Ga (0.500, 0.500, 0.500)  -0.03
Ga (0.000, 0.500, 0.000)  -0.03

***

A plane-wave DFT calculation with GGA-PBE was carried out for an optimized crystal structure of TlC5.

E_form ... 2134 meV per atom
Spin magnetization ... 0.016 μB per cell
Uncorrected energy ... -5.947 eV/atom
Distance to the lowest polymorph of the same formula ... 110.48 kJ/mol of atoms
Density of states at the Fermi level ... 0.79 states/eV/f.u.

abc: 8.551 8.551 3.117
angles: 90.00 90.00 160.29
Site moments in Bohr magnetons follow the coordinates.
Atoms (fractional coordinates):
Tl (0.103, 0.897, 0.500)  0.01
C (0.393, 0.607, 0.000)  0.01
C (0.798, 0.202, 0.500)  -0.02
C (0.344, 0.656, 0.500)  -0.01
C (0.895, 0.105, 0.000)  -0.08
C (0.800, 0.200, 0.000)  0.10

***

A plane-wave DFT calculation with GGA-PBE was carried out for an optimized crystal structure of SrCrP.

E_form ... -408 meV per atom
Spin magnetization ... 3.979 μB per cell
Uncorrected energy ... -5.980 eV/atom
Density of states at the Fermi level ... 1.72 states/eV/f.u.

abc: 4.210 4.210 4.598
angles: 90.00 90.00 120.00
Site moments in Bohr magnetons follow the coordinates.
Atoms (fractional coordinates):
P (0.667, 0.333, 0.166)  -0.10
Sr (0.333, 0.667, 0.667)  0.05
Cr (0.000, 0.000, 0.167)  3.44

***

A plane-wave DFT calculation with GGA-PBE was carried out for an optimized crystal structure of MnAsAu2.

E_form ... 148 meV per atom
Spin magnetization ... 3.939 μB per cell
Uncorrected energy ... -4.946 eV/atom
Density of states at the Fermi level ... 2.11 states/eV/f.u.

abc: 8.530 8.530 8.530
angles: 21.45 21.45 21.45
Site moments in Bohr magnetons follow the coordinates.
Atoms (fractional coordinates):
Mn (0.250, 0.250, 0.250)  3.81
Au (0.504, 0.504, 0.504)  0.02
As (0.750, 0.750, 0.750)  -0.04
Au (0.996, 0.996, 0.996)  0.02

***

A plane-wave DFT calculation with GGA-PBE was carried out for an optimized crystal structure of SrGdHo2.

E_form ... 135 meV per atom
Spin magnetization ... 6.832 μB per cell
Uncorrected energy ... -6.095 eV/atom
Distance to the lowest polymorph of the same formula ... 0.00 kJ/mol of atoms
Density of states at the Fermi level ... 6.24 states/eV/f.u.

abc: 3.679 3.679 10.514
angles: 90.00 90.00 90.00
Site moments in Bohr magnetons follow the coordinates.
Atoms (fractional coordinates):
Ho (0.000, 0.000, 0.221)  0.11
Gd (0.500, 0.500, 0.000)  -7.09
Ho (0.000, 0.000, 0.779)  0.11
Sr (0.500, 0.500, 0.500)  0.02

***

A plane-wave DFT calculation with GGA-PBE was carried out for an optimized crystal structure of Y2SbRhBr.

Spin magnetization ... 0.001 μB per cell
Uncorrected energy ... -4.643 eV/atom
Uncorrected formation energy ... 0.572 eV/atom
Density of states at the Fermi level ... 5.18 states/eV/f.u.

abc: 5.773 5.265 5.773
angles: 90.00 90.00 90.00
Atoms (fractional coordinates):
Y (0.000, 0.000, 0.500)
Sb (0.000, 0.000, 0.000)
Br (0.000, 0.500, 0.000)
Y (0.500, 0.000, 0.000)
Rh (0.500, 0.500, 0.500)

***

A plane-wave DFT calculation with GGA-PBE was carried out for an optimized crystal structure of BaCdRu2.

E_form ... 671 meV per atom
Spin magnetization ... 0.001 μB per cell
Uncorrected energy ... -4.677 eV/atom
Density of states at the Fermi level ... 5.75 states/eV/f.u.

abc: 4.652 4.652 10.310
angles: 76.96 76.96 90.00
Atoms (fractional coordinates):
Ru (0.875, 0.716, 0.750)
Cd (0.500, 0.500, 0.000)
Ru (0.375, 0.534, 0.750)
Ba (0.000, 0.000, 0.000)
Ba (0.750, 0.250, 0.500)
Ru (0.284, 0.625, 0.250)
Ru (0.466, 0.125, 0.250)
Cd (0.250, 0.750, 0.500)

***

A plane-wave DFT calculation with GGA-PBE was carried out for an optimized crystal structure of MnAgP.

E_form ... 388 meV per atom
Spin magnetization ... 4.756 μB per cell
Uncorrected energy ... -5.422 eV/atom
Distance to the lowest polymorph of the same formula ... 27.78 kJ/mol of atoms
Density of states at the Fermi level ... 1.38 states/eV/f.u.

abc: 4.291 4.291 4.291
angles: 60.00 60.00 60.00
Site moments in Bohr magnetons follow the coordinates.
Atoms (fractional coordinates):
Mn (0.000, 0.000, 0.000)  4.18
P (0.500, 0.500, 0.500)  0.08
Ag (0.250, 0.250, 0.250)  0.11